1.
A plane-wave DFT calculation with PBE-GGA was carried out for a relaxed structure of LaTmIO6.

The structure in POSCAR format:
```
LaTmIO6
1.0
5.619 0.000 0.000
-2.810 4.866 0.000
0.000 0.000 10.170
La Tm I O
2 2 2 12
direct
0.000 0.000 0.000 La
0.000 0.000 0.500 La
0.333 0.667 0.250 Tm
0.667 0.333 0.750 Tm
0.667 0.333 0.250 I
0.333 0.667 0.750 I
0.656 0.627 0.140 O
0.971 0.344 0.140 O
0.344 0.971 0.640 O
0.029 0.656 0.860 O
0.373 0.344 0.360 O
0.971 0.627 0.360 O
0.627 0.971 0.860 O
0.656 0.029 0.360 O
0.029 0.373 0.640 O
0.373 0.029 0.140 O
0.627 0.656 0.640 O
0.344 0.373 0.860 O
```

## Properties
- crystal system = trigonal
- theoretical density (g/cm3) = 6.339
- ΔE_f (raw) (eV/atom) = -2.095
- energy (Ry per atom) = -0.486

2.
A plane-wave DFT calculation with PBE-GGA was carried out for a relaxed structure of MnBiS2Cl.

The structure in POSCAR format:
```
MnBiS2Cl
1.0
3.895 0.000 0.000
0.000 9.439 0.000
0.000 0.000 12.480
Mn Bi S Cl
4 4 8 4
direct
0.750 0.502 0.757 Mn
0.250 0.498 0.243 Mn
0.250 0.998 0.257 Mn
0.750 0.002 0.743 Mn
0.750 0.799 0.031 Bi
0.250 0.201 0.969 Bi
0.750 0.299 0.469 Bi
0.250 0.701 0.531 Bi
0.250 0.251 0.322 S
0.750 0.554 0.383 S
0.250 0.751 0.178 S
0.750 0.054 0.117 S
0.250 0.946 0.883 S
0.750 0.749 0.678 S
0.250 0.446 0.617 S
0.750 0.249 0.822 S
0.250 0.062 0.616 Cl
0.750 0.438 0.116 Cl
0.750 0.938 0.384 Cl
0.250 0.562 0.884 Cl
```

## Properties
- crystal system = orthorhombic
- theoretical density (g/cm3) = 5.263
- ΔE_f (raw) (eV/atom) = -0.618
- energy (Ry per atom) = -0.386
- offset from the most stable computed form (meV per atom) = 0

3.
A plane-wave DFT calculation with PBE-GGA was carried out for a relaxed structure of Nd3Pb2C.

The structure in POSCAR format:
```
Nd3Pb2C
1.0
6.484 0.000 0.000
0.000 7.138 0.130
-3.242 -1.650 7.397
Nd Pb C
6 4 2
direct
0.440 0.250 0.000 Nd
0.560 0.750 0.000 Nd
0.055 0.083 0.230 Nd
0.825 0.417 0.770 Nd
0.175 0.583 0.230 Nd
0.945 0.917 0.770 Nd
0.762 0.572 0.377 Pb
0.615 0.072 0.377 Pb
0.385 0.928 0.623 Pb
0.238 0.428 0.623 Pb
0.931 0.750 0.000 C
0.069 0.250 0.000 C
```

## Properties
- DFT formation energy (eV per atom) = -0.262
- crystal system = monoclinic
- theoretical density (g/cm3) = 8.301
- energy (Ry per atom) = -0.398

4.
A plane-wave DFT calculation with PBE-GGA was carried out for a relaxed structure of Nb2GaMo.

The structure in POSCAR format:
```
Nb2GaMo
1.0
-0.775 -2.253 6.885
-5.083 -4.764 -2.132
-0.975 -5.413 1.973
Mo Nb Ga
2 4 2
direct
0.000 0.000 0.000 Mo
0.750 0.250 0.500 Mo
0.642 0.125 0.250 Nb
0.108 0.625 0.250 Nb
0.375 0.358 0.750 Nb
0.875 0.892 0.750 Nb
0.500 0.500 0.000 Ga
0.250 0.750 0.500 Ga
```

## Properties
- DFT formation energy (eV per atom) = 0.476
- crystal system = tetragonal
- theoretical density (g/cm3) = 7.973
- energy (Ry per atom) = -0.590

- theoretical density of number 3 (Nd3Pb2C)?
  8.301 g/cm3

- The lowest energy belongs to which entry?
  Nb2GaMo